Compound: LaNdMgCd
Source: the Alexandria database
Functional: PBE
Structure: optimized geometry

a b c (Å): 3.915 3.915 7.795
angles (deg): 90.00 90.00 90.00
Positions (direct):
La 0.500 0.500 0.608
Nd 0.500 0.500 0.107
Mg 0.000 0.000 0.865
Cd 0.000 0.000 0.348

Results
energy of formation: -0.863 eV/f.u.
density: 5.83 Mg/m³

***

Compound: Sm4YBi5
Source: the Alexandria database
Functional: PBE
Structure: optimized geometry

a b c (Å): 4.545 4.545 16.375
angles (deg): 97.98 97.98 90.00
Positions (direct):
Sm 0.400 0.400 0.800
Sm 0.800 0.800 0.601
Sm 0.200 0.200 0.399
Sm 0.600 0.600 0.200
Y 0.000 0.000 0.000
Bi 0.099 0.099 0.198
Bi 0.500 0.500 0.000
Bi 0.901 0.901 0.802
Bi 0.300 0.300 0.600
Bi 0.700 0.700 0.400

Results
energy of formation: -9.201 eV/f.u.
density: 8.69 Mg/m³

***

Compound: CaReAg2
Source: the Alexandria database
Functional: PBE
Structure: optimized geometry

a b c (Å): 4.230 4.230 10.305
angles (deg): 78.16 78.16 90.00
Each line ends with the local moment (μB).
Positions (direct):
Re 0.000 0.000 0.000  2.00
Re 0.750 0.250 0.500  1.98
Ca 0.500 0.500 0.000  0.00
Ca 0.250 0.750 0.500  0.00
Ag 0.658 0.125 0.250  0.04
Ag 0.092 0.625 0.250  0.04
Ag 0.375 0.342 0.750  0.04
Ag 0.875 0.908 0.750  0.04

Results
energy above the lowest structure with this stoichiometry: 557 meV/atom
energy of formation: 4.120 eV/f.u.
density: 8.32 Mg/m³

***

Compound: PmFe2Co3
Source: the Alexandria database
Functional: PBE
Structure: optimized geometry

a b c (Å): 4.676 6.231 6.231
angles (deg): 101.12 90.00 90.00
Each line ends with the local moment (μB).
Positions (direct):
Pm 0.250 0.314 0.314  -0.22
Pm 0.750 0.686 0.686  -0.22
Fe 0.500 0.787 0.213  1.79
Fe 0.000 0.787 0.213  1.79
Fe 0.000 0.213 0.787  1.79
Fe 0.500 0.213 0.787  1.79
Co 0.750 0.462 0.061  1.18
Co 0.750 0.061 0.462  1.18
Co 0.250 0.538 0.939  1.18
Co 0.750 0.065 0.065  1.31
Co 0.250 0.935 0.935  1.31
Co 0.250 0.939 0.538  1.18

Results
energy of formation: 0.052 eV/f.u.
density: 8.08 Mg/m³

***

Compound: LiLa3Y2Se6
Source: the Alexandria database
Functional: PBE
Structure: optimized geometry

a b c (Å): 7.243 7.243 7.269
angles (deg): 99.58 99.58 120.10
Positions (direct):
Li 0.000 0.000 0.000
La 0.167 0.833 0.500
La 0.833 0.167 0.500
La 0.500 0.500 0.500
Y 0.334 0.666 0.000
Y 0.666 0.334 0.000
Se 0.924 0.597 0.771
Se 0.751 0.751 0.228
Se 0.076 0.403 0.229
Se 0.597 0.924 0.771
Se 0.249 0.249 0.772
Se 0.403 0.076 0.229

Results
density: 5.74 Mg/m³
E_form (uncorrected): -1.851 eV per atom

***

Compound: YZnAs4
Source: the Alexandria database
Functional: PBE
Structure: optimized geometry

a b c (Å): 5.628 5.628 5.628
angles (deg): 60.00 60.00 60.00
Positions (direct):
Y 0.750 0.750 0.750
Zn 0.000 0.000 0.000
As 0.881 0.373 0.373
As 0.373 0.373 0.881
As 0.373 0.881 0.373
As 0.373 0.373 0.373

Results
energy of formation: -0.490 eV/f.u.
density: 5.98 Mg/m³

***

Compound: NiSbSe2
Source: the Alexandria database
Functional: PBE
Structure: optimized geometry

a b c (Å): 6.194 6.194 6.194
angles (deg): 143.41 143.41 52.71
Each line ends with the local moment (μB).
Positions (direct):
Ni 0.500 0.500 0.000  0.18
Sb 0.750 0.250 0.500  -0.01
Se 0.000 0.000 0.000  0.02
Se 0.250 0.750 0.500  0.02

Results
density: 6.70 Mg/m³
E_form (uncorrected): 0.408 eV per atom

***

Compound: KSc3Al
Source: the Alexandria database
Functional: PBE
Structure: optimized geometry

a b c (Å): 5.419 5.419 5.419
angles (deg): 90.00 90.00 90.00
Each line ends with the local moment (μB).
Positions (direct):
Sc 0.000 0.500 0.000  0.42
Sc 0.000 0.000 0.500  0.47
Sc 0.500 0.000 0.000  0.39
K 0.500 0.500 0.500  0.04
Al 0.000 0.000 0.000  0.00

Results
energy above the lowest structure with this stoichiometry: 0 meV/atom
energy of formation: 2.485 eV/f.u.
density: 2.10 Mg/m³